(1)
Material: K2TbHfS4
Method: DFT, PBE
State: relaxed

Geometry as POSCAR:
```
K2TbHfS4
1.0
6.770 0.000 0.000
0.000 3.876 0.000
-2.219 0.000 7.393
K Tb Hf S
2 1 1 4
Cartesian
0.000 0.000 0.000 K
3.385 1.938 0.000 K
-1.109 1.938 3.696 Tb
2.276 0.000 3.696 Hf
0.139 0.000 5.199 S
1.243 1.938 2.239 S
3.309 1.938 5.154 S
4.412 0.000 2.194 S
```

The total magnetization comes out at 0.00 μB per atom. As for the formation energy without anion corrections: -1650 meV/atom. As for the volume: 194 Å³ per cell. The value obtained for the electronic total energy is -5.8106 eV/atom. Its crystal system is monoclinic.

=====

(2)
Material: K3Tb3HfS8
Method: DFT, PBE
State: relaxed

Geometry as POSCAR:
```
K3Tb3HfS8
1.0
3.974 2.295 7.508
-3.974 2.295 7.508
0.000 -4.589 7.508
K Tb Hf S
3 3 1 8
Cartesian
-1.987 -1.147 7.508 K
-1.987 1.147 15.017 K
0.000 2.295 7.508 K
-3.974 0.000 11.263 Tb
-1.987 1.147 3.754 Tb
1.987 1.147 3.754 Tb
0.000 0.000 11.263 Hf
0.000 0.000 5.270 S
-1.866 -1.077 12.705 S
0.000 -2.155 9.820 S
-1.866 1.077 9.820 S
1.866 -1.077 12.705 S
0.000 2.155 12.705 S
1.866 1.077 9.820 S
0.000 0.000 17.255 S
```

The total magnetization comes out at 0.00 μB per atom. As for the formation energy without anion corrections: -1836 meV/atom. As for the volume: 411 Å³ per cell. The value obtained for the electronic total energy is -5.8469 eV/atom. Its crystal system is trigonal.

=====

(3)
Material: K4Tb3HfS8
Method: DFT, PBE
State: relaxed

Geometry as POSCAR:
```
K4Tb3HfS8
1.0
3.981 2.298 7.378
-3.981 2.298 7.378
0.000 -4.596 7.378
K Tb Hf S
4 3 1 8
Cartesian
0.000 0.000 0.000 K
-1.990 -1.149 7.378 K
-1.990 1.149 14.757 K
0.000 2.298 7.378 K
-3.981 0.000 11.068 Tb
-1.990 1.149 3.689 Tb
1.990 1.149 3.689 Tb
0.000 0.000 11.068 Hf
0.000 0.000 5.216 S
-1.886 -1.089 12.539 S
0.000 -2.177 9.596 S
-1.886 1.089 9.596 S
1.886 -1.089 12.539 S
0.000 2.177 12.539 S
1.886 1.089 9.596 S
0.000 0.000 16.919 S
```

The total magnetization comes out at 0.00 μB per atom. As for the formation energy without anion corrections: -1762 meV/atom. As for the volume: 405 Å³ per cell. The value obtained for the electronic total energy is -5.5899 eV/atom. Its crystal system is trigonal.

=====

(4)
Material: K2HfTe2S6
Method: DFT, PBE
State: relaxed

Geometry as POSCAR:
```
K2HfTe2S6
1.0
7.495 -3.517 0.000
7.495 3.517 0.000
-3.404 0.000 6.593
K Hf Te S
2 1 2 6
Cartesian
2.676 0.000 1.571 K
8.910 0.000 5.021 K
-1.702 0.000 3.296 Hf
6.578 0.000 1.173 Te
5.008 0.000 5.419 Te
4.063 1.725 4.051 S
-0.070 0.000 5.084 S
7.523 1.725 2.541 S
4.063 -1.725 4.051 S
11.655 0.000 1.508 S
7.523 -1.725 2.541 S
```

The total magnetization comes out at 0.00 μB per atom. As for the formation energy without anion corrections: -688 meV/atom. As for the volume: 348 Å³ per cell. The value obtained for the electronic total energy is -4.6146 eV/atom. Its crystal system is monoclinic.

=====

(5)
Material: K2HfTeS4
Method: DFT, PBE
State: relaxed

Geometry as POSCAR:
```
K2HfTeS4
1.0
7.828 0.000 0.000
0.000 7.828 0.000
0.000 0.000 7.823
K Hf Te S
4 2 2 8
Cartesian
0.000 0.000 0.000 K
0.000 3.914 1.956 K
3.914 0.000 5.867 K
3.914 3.914 3.912 K
0.000 0.000 3.912 Hf
3.914 3.914 0.000 Hf
0.000 3.914 5.867 Te
3.914 0.000 1.956 Te
1.206 1.530 5.329 S
1.530 6.622 2.495 S
2.384 5.120 6.406 S
2.708 2.384 1.417 S
5.120 5.445 1.417 S
5.445 2.708 6.406 S
6.298 1.206 2.495 S
6.622 6.298 5.329 S
```

The total magnetization comes out at 0.00 μB per atom. As for the formation energy without anion corrections: -997 meV/atom. As for the volume: 479 Å³ per cell. The value obtained for the electronic total energy is -4.9718 eV/atom. Its crystal system is tetragonal.

=====

(6)
Material: KHfTe2S6
Method: DFT, PBE
State: relaxed

Geometry as POSCAR:
```
KHfTe2S6
1.0
3.402 1.964 7.423
-3.402 1.964 7.423
0.000 -3.928 7.423
K Hf Te S
1 1 2 6
Cartesian
0.000 0.000 0.000 K
0.000 0.000 11.539 Hf
0.000 0.000 4.431 Te
0.000 0.000 17.011 Te
-2.010 0.123 9.918 S
-0.709 -1.898 13.054 S
0.899 -1.802 9.918 S
-1.289 1.563 13.054 S
1.112 1.680 9.918 S
1.999 0.335 13.054 S
```

The total magnetization comes out at 0.10 μB per atom. As for the formation energy without anion corrections: -584 meV/atom. As for the volume: 298 Å³ per cell. The value obtained for the electronic total energy is -4.7939 eV/atom. Its crystal system is trigonal.

=====

(7)
Material: K3Hf3TiS8
Method: DFT, PBE
State: relaxed

Geometry as POSCAR:
```
K3Hf3TiS8
1.0
3.654 2.109 7.576
-3.654 2.109 7.576
0.000 -4.219 7.576
K Hf Ti S
3 3 1 8
Cartesian
-1.827 -1.055 7.576 K
-1.827 1.055 15.153 K
0.000 2.109 7.576 K
-3.654 0.000 11.364 Hf
-1.827 1.055 3.788 Hf
1.827 1.055 3.788 Hf
0.000 0.000 11.364 Ti
0.000 0.000 5.286 S
-1.814 -1.047 12.816 S
0.000 -2.094 9.913 S
-1.814 1.047 9.913 S
1.814 -1.047 12.816 S
0.000 2.094 12.816 S
1.814 1.047 9.913 S
0.000 0.000 17.443 S
```

The total magnetization comes out at 0.07 μB per atom. As for the formation energy without anion corrections: -1511 meV/atom. As for the volume: 350 Å³ per cell. The value obtained for the electronic total energy is -6.4484 eV/atom. Its crystal system is trigonal.

=====

(8)
Material: KHfTiS4
Method: DFT, PBE
State: relaxed

Geometry as POSCAR:
```
KHfTiS4
1.0
-3.829 3.928 5.677
3.829 -3.928 5.677
3.829 3.928 -5.677
K Hf Ti S
2 2 2 8
Cartesian
0.000 1.964 1.545 K
3.829 1.964 4.133 K
3.829 0.000 0.000 Hf
0.000 0.000 5.677 Hf
1.915 1.964 -2.839 Ti
1.915 -1.964 2.839 Ti
3.829 -0.346 2.558 S
2.158 1.964 -0.261 S
5.500 1.964 -0.261 S
3.829 3.582 -2.558 S
0.000 0.346 8.235 S
-1.671 1.964 5.938 S
1.671 1.964 5.938 S
0.000 4.274 3.120 S
```

The total magnetization comes out at 0.14 μB per atom. As for the formation energy without anion corrections: -1288 meV/atom. As for the volume: 342 Å³ per cell. The value obtained for the electronic total energy is -6.3526 eV/atom. Its crystal system is orthorhombic.

=====

(9)
Material: KHfTlS3
Method: DFT, PBE
State: relaxed

Geometry as POSCAR:
```
KHfTlS3
1.0
3.808 -7.540 0.000
3.808 7.540 0.000
-1.430 0.000 6.546
K Hf Tl S
2 2 2 6
Cartesian
2.735 4.099 4.910 K
3.450 -4.099 1.637 K
3.450 6.785 1.637 Hf
2.735 -6.785 4.910 Hf
3.450 1.315 1.637 Tl
2.735 -1.315 4.910 Tl
0.898 0.594 3.277 S
3.450 4.406 1.637 S
1.614 -0.594 0.004 S
4.572 0.594 6.543 S
2.735 -4.406 4.910 S
5.287 -0.594 3.269 S
```

The total magnetization comes out at 0.00 μB per atom. As for the formation energy without anion corrections: -1201 meV/atom. As for the volume: 376 Å³ per cell. The value obtained for the electronic total energy is -5.5010 eV/atom. Its crystal system is monoclinic.

=====

(10)
Material: K3Tm3HfS8
Method: DFT, PBE
State: relaxed

Geometry as POSCAR:
```
K3Tm3HfS8
1.0
3.911 2.258 7.498
-3.911 2.258 7.498
0.000 -4.516 7.498
K Tm Hf S
3 3 1 8
Cartesian
-1.956 -1.129 7.498 K
-1.956 1.129 14.996 K
0.000 2.258 7.498 K
-3.911 0.000 11.247 Tm
-1.956 1.129 3.749 Tm
1.956 1.129 3.749 Tm
0.000 0.000 11.247 Hf
0.000 0.000 5.236 S
-1.866 -1.077 12.682 S
0.000 -2.154 9.813 S
-1.866 1.077 9.813 S
1.866 -1.077 12.682 S
0.000 2.154 12.682 S
1.866 1.077 9.813 S
0.000 0.000 17.258 S
```

The total magnetization comes out at 0.00 μB per atom. As for the formation energy without anion corrections: -1843 meV/atom. As for the volume: 397 Å³ per cell. The value obtained for the electronic total energy is -5.8214 eV/atom. Its crystal system is trigonal.

=====

(11)
Material: K2HfU2S6
Method: DFT, PBE
State: relaxed

Geometry as POSCAR:
```
K2HfU2S6
1.0
3.381 -5.800 0.000
3.381 5.800 0.000
-2.252 0.000 7.616
K Hf U S
2 1 2 6
Cartesian
3.381 3.843 0.000 K
3.381 -3.843 0.000 K
-1.126 0.000 3.808 Hf
2.254 1.924 3.808 U
2.254 -1.924 3.808 U
-0.051 1.838 5.302 S
0.994 0.000 2.311 S
-0.051 -1.838 5.302 S
4.560 1.838 2.314 S
3.515 0.000 5.305 S
4.560 -1.838 2.314 S
```

The total magnetization comes out at 0.55 μB per atom. As for the formation energy without anion corrections: -1463 meV/atom. As for the volume: 299 Å³ per cell. The value obtained for the electronic total energy is -6.8711 eV/atom. Its crystal system is monoclinic.

=====

(12)
Material: K3HfU2S6
Method: DFT, PBE
State: relaxed

Geometry as POSCAR:
```
K3HfU2S6
1.0
3.402 -5.893 0.000
3.402 5.893 0.000
-2.274 0.000 7.459
K Hf U S
3 1 2 6
Cartesian
0.000 0.000 0.000 K
3.402 1.992 0.000 K
3.402 -1.992 0.000 K
2.265 0.000 3.729 Hf
2.265 3.930 3.729 U
2.265 -3.930 3.729 U
1.189 1.865 2.220 S
0.113 0.000 5.242 S
1.189 -1.865 2.220 S
3.341 1.865 5.239 S
4.417 0.000 2.217 S
3.341 -1.865 5.239 S
```

The total magnetization comes out at 0.56 μB per atom. As for the formation energy without anion corrections: -1401 meV/atom. As for the volume: 299 Å³ per cell. The value obtained for the electronic total energy is -6.4500 eV/atom. Its crystal system is monoclinic.